# Rb2Be2HgBr6 | the Alexandria database | GGA-PBE | optimized geometry
# Total energy ... -2.968 eV/atom
# Calculated volume ... 425.6 Å³ per cell
# M_tot ... 0.00 Bohr magnetons per cell
data_Rb2Be2HgBr6
_chemical_formula_sum 'Rb2 Be2 Hg1 Br6'
_symmetry_space_group_name_H-M 'P -1'
_symmetry_Int_Tables_number 2
_cell_length_a 7.1787
_cell_length_b 7.2604
_cell_length_c 9.8525
_cell_angle_alpha 80.03
_cell_angle_beta 68.72
_cell_angle_gamma 62.82
loop_
_symmetry_equiv_pos_as_xyz
'x,y,z'
'-x,-y,-z'
loop_
_atom_site_label
_atom_site_type_symbol
_atom_site_fract_x
_atom_site_fract_y
_atom_site_fract_z
Rb1 Rb 0.1240 0.2415 0.2605
Be1 Be 0.2300 0.0798 0.7067
Hg1 Hg 0.5000 0.5000 0.0000
Br1 Br 0.0566 0.7490 0.3514
Br2 Br 0.2998 0.2087 0.8454
Br3 Br 0.4207 0.7731 0.6413